VASP calculation (PBE-GGA) on a relaxed Sc2InSi crystal.

Output
Formation energy from raw total energies   -409.8 meV per atom
DOS(E_F)   0.862 states/eV/atom
Final energy   -5.616 eV/atom

Geometry as POSCAR:
```
Sc2InSi
1.0
5.2043 0.0449 0.0383
1.4736 4.9915 -0.0383
-3.2846 -2.5903 3.0967
Sc Si In
2 1 1
direct
0.0065 0.0065 0.0000
0.4935 0.4935 0.0000
0.2500 0.7500 0.5000
0.7500 0.2500 0.5000
```